1.
Compound: Sr2SbRu2
Source: the Alexandria database
Functional: SCAN
Structure: PBEsol geometry

- ΔE_f (raw) (eV per atom) = -0.037
- total magnetization (μB per cell) = 0.002

Cell: 3.546 3.546 10.122 Å, 100.09 100.09 90.00°
Element x y z (fractional)
1 Sr 0.616 0.616 0.232
2 Sr 0.384 0.384 0.768
3 Ru 0.750 0.250 0.500
4 Ru 0.250 0.750 0.500
5 Sb 0.000 0.000 0.000

***

2.
Compound: Zr2MoCl
Source: the Alexandria database
Functional: SCAN
Structure: PBEsol geometry

- energy relative to the lowest polymorph listed for this composition (eV per formula unit) = 1.72
- ΔE_f (raw) (eV per atom) = 0.271
- total magnetization (μB per cell) = 0.000

Cell: 3.350 4.116 5.254 Å, 90.00 90.00 90.00°
Element x y z (fractional)
1 Mo 0.000 0.500 0.500
2 Cl 0.500 0.500 0.000
3 Zr 0.500 0.000 0.500
4 Zr 0.000 0.000 0.000

***

What is the total magnetization in the second record?
0.000 μB per cell

***

The lowest total magnetization belongs to which entry?
Zr2MoCl

***

The lowest total magnetization belongs to which entry?
Zr2MoCl